Below is a geometry-optimized KBaNi2 structure, with properties calculated at the GGA-PBEsol level.

Lattice parameters (Å, degrees): 4.024 4.024 7.060 90.00 90.00 90.00
Atoms (fractional coordinates):
K (0.000, 0.000, 0.000)
Ba (0.000, 0.000, 0.500)
Ni (0.500, 0.500, 0.338)
Ni (0.500, 0.500, 0.662)

Results
Magnetization in μB/cell: 0.32
DFT formation energy in eV per atom: 0.620
E in eV/atom: -3.280
Symmetry: P4/mmm, No. 123
Crystal system: tetragonal


Below is a geometry-optimized K3BaNi structure, with properties calculated at the GGA-PBEsol level.

Lattice parameters (Å, degrees): 6.267 6.267 6.267 90.00 90.00 90.00
Atoms (fractional coordinates):
K (0.000, 0.000, 0.500)
K (0.000, 0.500, 0.000)
K (0.500, 0.000, 0.000)
Ba (0.500, 0.500, 0.500)
Ni (0.000, 0.000, 0.000)

Results
Magnetization in μB/cell: 0.23
DFT formation energy in eV per atom: 0.605
E in eV/atom: -1.737
Symmetry: Pm-3m, No. 221
Crystal system: cubic


Number 1 is which compound? KBaNi2